*a*
VASP calculation (PBE) on a relaxed structure of LaNb2Mo.

Properties
Space group   No. 225

Unit cell a=4.8187 b=4.8187 c=4.8187 alpha=60.00 beta=60.00 gamma=60.00
With the nearest neighbours (Å) after each atom.
Positions (direct):
La (0.0000, 0.0000, 0.0000)  8 Nb 2.95
Nb (0.2500, 0.2500, 0.2500)  4 La 2.95, 4 Mo 2.95
Nb (0.7500, 0.7500, 0.7500)  4 La 2.95, 4 Mo 2.95
Mo (0.5000, 0.5000, 0.5000)  8 Nb 2.95

*b*
VASP calculation (PBE) on a relaxed structure of LaNb2Mo.

Properties
Space group   No. 122

Unit cell a=9.9701 b=9.9701 c=9.9701 alpha=152.68 beta=152.68 gamma=39.03
With the nearest neighbours (Å) after each atom.
Positions (direct):
La (0.0000, 0.0000, 0.0000)  4 Nb 3.26, 4 Mo 3.33
La (0.7500, 0.2500, 0.5000)  4 Nb 3.26, 4 Mo 3.33
Nb (0.2847, 0.6250, 0.1597)  2 Nb 2.50, 2 Mo 2.66
Nb (0.3750, 0.5347, 0.6597)  2 Nb 2.50, 2 Mo 2.66
Nb (0.4653, 0.1250, 0.8403)  2 Nb 2.50, 2 Mo 2.66
Nb (0.8750, 0.7153, 0.3403)  2 Nb 2.50, 2 Mo 2.66
Mo (0.2500, 0.7500, 0.5000)  4 Nb 2.66
Mo (0.5000, 0.5000, 0.0000)  4 Nb 2.66

Q: Which of them is the least stable? A: *b*.

*a*
VASP calculation (PBE) on a relaxed structure of LaNi2Mo2.

Properties
Space group   No. 139

Unit cell a=6.7433 b=6.7433 c=6.7433 alpha=147.57 beta=147.57 gamma=46.52
With the nearest neighbours (Å) after each atom.
Positions (direct):
La (0.0000, 0.0000, 0.0000)  8 Ni 2.95
Ni (0.3968, 0.3968, 0.0000)  1 Ni 2.56, 4 Mo 2.62
Ni (0.6032, 0.6032, 0.0000)  1 Ni 2.56, 4 Mo 2.62
Mo (0.2500, 0.7500, 0.5000)  4 Ni 2.62, 4 Mo 2.66
Mo (0.7500, 0.2500, 0.5000)  4 Ni 2.62, 4 Mo 2.66

*b*
VASP calculation (PBE) on a relaxed structure of LaNi2Mo2.

Properties
Space group   No. 139

Unit cell a=5.8558 b=5.8558 c=5.8558 alpha=137.04 beta=137.04 gamma=62.37
With the nearest neighbours (Å) after each atom.
Positions (direct):
La (0.0000, 0.0000, 0.0000)  8 Mo 3.28, 8 Ni 3.30
Ni (0.2500, 0.7500, 0.5000)  4 Mo 2.49
Ni (0.7500, 0.2500, 0.5000)  4 Mo 2.49
Mo (0.3754, 0.3754, 0.0000)  4 Ni 2.49, 1 Mo 2.50
Mo (0.6246, 0.6246, 0.0000)  4 Ni 2.49, 1 Mo 2.50

Q: Which of them is the least stable? A: *b*.

*a*
VASP calculation (PBE) on a relaxed structure of LaNiMo.

Properties
Space group   No. 216

Unit cell a=4.5841 b=4.5841 c=4.5841 alpha=60.00 beta=60.00 gamma=60.00
With the nearest neighbours (Å) after each atom.
Positions (direct):
La (0.0000, 0.0000, 0.0000)  4 Ni 2.81
Ni (0.7500, 0.7500, 0.7500)  4 La 2.81, 4 Mo 2.81
Mo (0.5000, 0.5000, 0.5000)  4 Ni 2.81

*b*
VASP calculation (PBE) on a relaxed structure of LaNiMo.

Properties
Space group   No. 216

Unit cell a=4.5446 b=4.5446 c=4.5446 alpha=60.00 beta=60.00 gamma=60.00
With the nearest neighbours (Å) after each atom.
Positions (direct):
La (0.0000, 0.0000, 0.0000)  4 Mo 2.78, 4 Ni 2.78
Ni (0.7500, 0.7500, 0.7500)  4 La 2.78
Mo (0.2500, 0.2500, 0.2500)  4 La 2.78

Q: Which of them is the least stable? A: *b*.

*a*
VASP calculation (PBE) on a relaxed structure of LaNi2SbMo.

Properties
Space group   No. 123

Unit cell a=4.6936 b=4.6936 c=5.1023 alpha=90.00 beta=90.00 gamma=90.00
With the nearest neighbours (Å) after each atom.
Positions (direct):
La (0.0000, 0.0000, 0.0000)  4 Sb 3.32, 8 Ni 3.47
Ni (0.0000, 0.5000, 0.5000)  2 Mo 2.35
Ni (0.5000, 0.0000, 0.5000)  2 Mo 2.35
Sb (0.5000, 0.5000, 0.0000)  2 Mo 2.55
Mo (0.5000, 0.5000, 0.5000)  4 Ni 2.35, 2 Sb 2.55

*b*
VASP calculation (PBE) on a relaxed structure of LaNi2SbMo.

Properties
Space group   No. 123

Unit cell a=4.6812 b=4.6812 c=5.0402 alpha=90.00 beta=90.00 gamma=90.00
With the nearest neighbours (Å) after each atom.
Positions (direct):
La (0.0000, 0.0000, 0.0000)  4 Ni 2.34, 2 Mo 2.52
Ni (0.0000, 0.5000, 0.0000)  2 La 2.34
Ni (0.5000, 0.0000, 0.0000)  2 La 2.34
Sb (0.5000, 0.5000, 0.5000)  4 Mo 3.31, 8 Ni 3.44
Mo (0.0000, 0.0000, 0.5000)  2 La 2.52

Q: Which of them is the least stable? A: *b*.